# 1
# Ga4Cu6Ag

An optimized crystal structure of Ga4Cu6Ag (PBE-GGA, the Alexandria database).

Cell: 6.047 6.047 9.481 Å, 90.00 90.00 90.00°
Space group I-42m (No. 121)
Asymmetric unit:
Ga 0.231 0.231 0.180 [8 per cell]
Cu 0.000 0.500 0.000 [4 per cell]
Cu 0.160 0.160 0.911 [8 per cell]
Ag 0.000 0.000 0.500 [2 per cell]

- V (Å³ per cell) = 346.62
- ΔH_f (0 K) (eV/atom) = 0.07
- total DFT energy (no corrections) (eV per atom) = -3.529

***

# 2
# Sm6P2S3O

An optimized crystal structure of Sm6P2S3O (PBE-GGA, the Alexandria database).

Cell: 17.379 3.963 7.988 Å, 90.00 104.24 90.00°
Space group C2/m (No. 12)
Asymmetric unit:
Sm 0.000 0.000 0.226 [4 per cell]
Sm 0.152 0.500 0.079 [4 per cell]
Sm 0.168 0.500 0.580 [4 per cell]
P 0.164 0.000 0.330 [4 per cell]
S 0.000 0.500 0.500 [2 per cell]
S 0.170 0.000 0.837 [4 per cell]
O 0.000 0.500 0.000 [2 per cell]

- V (Å³ per cell) = 533.23
- total DFT energy (no corrections) (eV per atom) = -6.683
- ΔE_f (raw) (meV per atom) = -1977

***

# 3
# PmPr8Y4

An optimized crystal structure of PmPr8Y4 (PBE-GGA, the Alexandria database).

Cell: 13.032 12.040 6.667 Å, 90.00 116.19 90.00°
Space group C2/m (No. 12)
Asymmetric unit:
Pm 0.000 0.000 0.000 [2 per cell]
Pr 0.077 0.258 0.318 [8 per cell]
Pr 0.157 0.500 0.071 [4 per cell]
Pr 0.239 0.000 0.364 [4 per cell]
Y 0.000 0.000 0.500 [2 per cell]
Y 0.000 0.500 0.500 [2 per cell]
Y 0.250 0.250 0.000 [4 per cell]

- V (Å³ per cell) = 938.70
- ΔH_f (0 K) (eV/atom) = 0.24
- total DFT energy (no corrections) (eV per atom) = -5.053